# PBE PmEr2Te, relaxed
# - magnetic moment (μB/f.u.) = 0.0
# - formation energy without anion corrections (eV/atom) = -0.6478
# - raw total energy (eV/cell) = -78.436
data_PmEr2Te
_chemical_formula_sum 'Pm4 Er8 Te4'
_cell_length_a 3.958
_cell_length_b 12.153
_cell_length_c 9.843
_cell_angle_alpha 90.00
_cell_angle_beta 90.00
_cell_angle_gamma 90.00
_symmetry_space_group_name_H-M 'C m c m'
_symmetry_Int_Tables_number 63
_symmetry_space_group_name_Hall '-C 2c 2'
loop_
_atom_site_label
_atom_site_type_symbol
_atom_site_fract_x
_atom_site_fract_y
_atom_site_fract_z
_atom_site_occupancy
Pm1 Pm 0.000 0.054 0.250 1
Er1 Er 0.000 0.364 0.035 1
Te1 Te 0.000 0.232 0.750 1